# SrCd2Sn

SrCd2Sn after structural relaxation (PBE-GGA, Alexandria).

crystal system = monoclinic
energy = -8.22 eV/f.u.

Unit cell a=4.939 b=8.568 c=6.495 alpha=90.00 beta=112.29 gamma=90.00
Space group P2_1/m (No. 11)
Asymmetric unit:
Sr: 0.059 0.250 0.117 (multiplicity 2)
Cd: 0.267 0.586 0.535 (multiplicity 4)
Sn: 0.367 0.250 0.732 (multiplicity 2)